# 1
Entry from Alexandria: an optimized crystal structure of Zn2HgSb (PBE).

```
4
Lattice="6.900 0.039 -0.045 4.791 4.966 0.045 -5.609 -3.056 2.611" Properties=species:S:1:pos:R:3 pbc="T T T"
Hg 5.393 2.309 0.000
Sb 2.048 2.007 1.328
Zn 0.291 0.125 0.000
Zn 4.196 0.012 1.283
```

Results
Calculated density, g/cm³: 8.42
Polymorph energy (0 for the lowest one), kJ/mol of atoms: 3.5
D(E_F), states/eV/atom: 0.273
E_tot, eV/cell: -6.44
Uncorrected formation energy, eV per atom: 0.1343



# 2
Entry from Alexandria: an optimized crystal structure of Zn3Hg12Sb5 (PBE).

```
80
Lattice="-3.207 9.805 -10.102 -10.668 -0.570 9.712 12.304 3.716 6.579" Properties=species:S:1:pos:R:3 pbc="T T T"
Zn -4.868 7.604 -3.112
Zn -9.270 8.616 -0.733
Zn -1.514 5.571 7.608
Zn 2.479 3.773 1.155
Zn -1.064 9.437 -5.981
Zn -4.795 4.249 3.927
Zn 3.223 8.701 2.262
Zn -0.508 3.513 12.169
Zn -4.050 9.177 5.033
Zn -0.058 7.379 -1.419
Zn 7.698 4.334 6.922
Zn 3.296 5.346 9.301
Sb -1.326 1.941 4.024
Sb -5.334 -0.285 4.856
Sb 0.000 0.000 0.000
Sb -2.332 3.999 -0.538
Sb 4.548 6.760 -1.762
Sb -6.938 4.617 -0.195
Sb -3.788 2.191 8.488
Sb 7.027 10.533 -0.606
Sb -4.459 8.390 0.961
Sb 6.692 6.392 2.360
Sb -8.264 6.558 3.829
Sb -0.786 6.475 3.094
Sb -1.604 4.902 -5.051
Sb 6.152 1.858 3.289
Sb 2.887 4.560 5.228
Sb -8.599 2.417 6.795
Sb 0.818 1.573 8.145
Sb 2.216 10.759 -2.300
Sb 0.760 8.951 6.727
Sb -0.246 11.009 2.165
Hg -2.886 7.460 -5.854
Hg -1.644 4.500 5.142
Hg -3.834 9.890 -4.085
Hg -2.877 5.883 -2.552
Hg -1.593 8.149 5.413
Hg -6.778 9.483 -2.855
Hg -4.422 4.166 6.590
Hg -8.060 0.523 8.802
Hg -3.428 7.444 7.876
Hg -6.816 7.582 -0.342
Hg -2.428 8.573 -0.974
Hg -11.875 7.793 1.268
Hg -1.347 2.903 9.686
Hg -4.471 3.869 1.282
Hg -5.814 2.018 10.430
Hg 4.307 5.743 1.020
Hg 0.732 1.961 2.109
Hg -7.891 4.074 2.567
Hg -8.885 8.535 1.929
Hg -3.765 1.216 2.828
Hg -1.841 5.964 10.250
Hg -3.753 6.528 2.944
Hg -4.841 10.878 2.214
Hg 4.960 10.516 1.300
Hg 2.181 6.422 3.244
Hg 3.269 2.072 3.975
Hg -6.532 2.434 4.889
Hg 7.313 4.415 4.259
Hg 0.269 6.986 -4.061
Hg 2.193 11.734 3.360
Hg 6.319 8.876 3.622
Hg -5.879 7.207 5.169
Hg -2.304 10.989 4.080
Hg 4.242 10.932 -4.241
Hg -0.225 10.047 -3.498
Hg 10.303 5.157 4.921
Hg 2.899 9.081 4.906
Hg 1.856 5.506 -1.687
Hg 5.244 5.368 6.531
Hg 0.856 4.377 7.163
Hg 6.488 12.427 -2.613
Hg 2.850 8.784 -0.402
Hg 1.305 7.067 8.741
Hg 5.206 3.467 9.044
Hg 0.021 4.801 0.776
Hg 2.262 3.060 10.274
Hg 0.072 8.450 1.046
Hg 1.314 5.490 12.042
```

Results
Calculated density, g/cm³: 9.21
D(E_F), states/eV/atom: 0.664
E_tot, eV/cell: -99.92
Uncorrected formation energy, eV per atom: 0.1538



# 3
Entry from Alexandria: an optimized crystal structure of Zn2HgSb (PBE).

```
4
Lattice="4.265 -0.159 0.096 2.714 3.294 0.096 1.491 0.670 6.307" Properties=species:S:1:pos:R:3 pbc="T T T"
Hg 6.352 2.854 4.874
Sb 2.117 0.951 1.625
Zn 6.986 3.138 0.245
Zn 4.228 1.899 3.197
```

Results
Calculated density, g/cm³: 8.29
Polymorph energy (0 for the lowest one), kJ/mol of atoms: 0.3
D(E_F), states/eV/atom: 0.190
E_tot, eV/cell: -6.57
Uncorrected formation energy, eV per atom: 0.1012



# 4
Entry from Alexandria: an optimized crystal structure of ZnHgSb2 (PBE).

```
4
Lattice="-2.379 2.600 4.078 -3.556 -3.947 -0.910 1.652 -2.005 2.243" Properties=species:S:1:pos:R:3 pbc="T T T"
Hg -0.952 -2.976 0.667
Sb 0.000 0.000 0.000
Sb -2.968 -0.673 1.584
Zn -0.363 0.298 3.160
```

Results
Calculated density, g/cm³: 8.64
Polymorph energy (0 for the lowest one), kJ/mol of atoms: 15.4
D(E_F), states/eV/atom: 0.654
E_tot, eV/cell: -8.79
Uncorrected formation energy, eV per atom: 0.2564



# 5
Entry from Alexandria: an optimized crystal structure of Zn2HgSb (PBE).

```
4
Lattice="0.000 3.517 3.517 3.517 0.000 3.517 3.517 3.517 0.000" Properties=species:S:1:pos:R:3 pbc="T T T"
Sb 0.000 0.000 0.000
Zn 1.759 1.759 1.759
Zn 5.276 5.276 5.276
Hg 3.517 3.517 3.517
```

Results
Calculated density, g/cm³: 8.65
Polymorph energy (0 for the lowest one), kJ/mol of atoms: 8.0
D(E_F), states/eV/atom: 0.725
E_tot, eV/cell: -6.25
Uncorrected formation energy, eV per atom: 0.1811



# 6
Entry from Alexandria: an optimized crystal structure of ZrHg3Sb (PBE).

```
5
Lattice="5.524 0.000 0.000 0.000 5.524 0.000 0.000 0.000 5.524" Properties=species:S:1:pos:R:3 pbc="T T T"
Sb 2.762 2.762 2.762
Hg 0.000 2.762 0.000
Hg 0.000 0.000 2.762
Hg 2.762 0.000 0.000
Zr 0.000 0.000 0.000
```

Results
Calculated density, g/cm³: 8.03
Polymorph energy (0 for the lowest one), kJ/mol of atoms: 0.0
D(E_F), states/eV/atom: 0.865
E_tot, eV/cell: -10.16
Uncorrected formation energy, eV per atom: 0.6842



# 7
Entry from Alexandria: an optimized crystal structure of Zr2Hg2Sb (PBE).

```
10
Lattice="7.468 0.000 0.000 0.000 7.468 0.000 0.000 0.000 4.360" Properties=species:S:1:pos:R:3 pbc="T T T"
Sb 0.000 0.000 0.000
Sb 3.734 3.734 0.000
Hg 1.092 4.826 2.180
Hg 4.826 6.376 2.180
Hg 6.376 2.642 2.180
Hg 2.642 1.092 2.180
Zr 2.584 6.318 0.000
Zr 6.318 4.883 0.000
Zr 4.883 1.149 0.000
Zr 1.149 2.584 0.000
```

Results
Calculated density, g/cm³: 9.64
Polymorph energy (0 for the lowest one), kJ/mol of atoms: 0.0
D(E_F), states/eV/atom: 0.830
E_tot, eV/cell: -45.51
Uncorrected formation energy, eV per atom: -0.1863



# 8
Entry from Alexandria: an optimized crystal structure of ZrHgSb4 (PBE).

```
6
Lattice="0.000 4.360 4.360 4.360 0.000 4.360 4.360 4.360 0.000" Properties=species:S:1:pos:R:3 pbc="T T T"
Zr 6.540 6.540 6.540
Hg 0.000 0.000 0.000
Sb 3.273 5.448 5.448
Sb 5.448 5.448 3.273
Sb 5.448 3.273 5.448
Sb 3.273 3.273 3.273
```

Results
Calculated density, g/cm³: 7.80
D(E_F), states/eV/atom: 1.038
E_tot, eV/cell: -23.30
Uncorrected formation energy, eV per atom: 0.3394